Compound: Fe4Ag2Bi
Source: the Alexandria database
Functional: PBE
Structure: relaxed

Lattice parameters (Å, degrees): 4.865 4.865 7.428 70.88 70.88 90.00
Fractional positions:
Bi 0.000 0.000 0.000
Ag 0.606 0.606 0.789
Ag 0.394 0.394 0.211
Fe 0.796 0.796 0.408
Fe 0.204 0.204 0.592
Fe 0.000 0.500 0.000
Fe 0.500 0.000 0.000

calculated density: 6.907 g cm⁻³
symmetry: I4/mmm (139)
E_tot: -33.72 eV per cell
ΔE_f: 1.39 eV per atom

Compound: HfFe2AgBi
Source: the Alexandria database
Functional: PBE
Structure: relaxed

Lattice parameters (Å, degrees): 4.726 5.377 4.726 90.00 90.00 90.00
Fractional positions:
Hf 0.000 0.500 0.000
Bi 0.000 0.000 0.000
Ag 0.500 0.500 0.500
Fe 0.000 0.000 0.500
Fe 0.500 0.000 0.000

calculated density: 8.395 g cm⁻³
symmetry: P4/mmm (123)
E_tot: -24.68 eV per cell
ΔE_f: 1.79 eV per atom

Compound: K2FeAgBi
Source: the Alexandria database
Functional: PBE
Structure: relaxed

Lattice parameters (Å, degrees): 6.371 5.286 6.371 90.00 90.00 90.00
Fractional positions:
K 0.000 0.000 0.500
K 0.500 0.000 0.000
Bi 0.000 0.500 0.000
Ag 0.000 0.000 0.000
Fe 0.500 0.500 0.500

calculated density: 3.490 g cm⁻³
symmetry: P4/mmm (123)
E_tot: -13.64 eV per cell
ΔE_f: 0.75 eV per atom

Compound: LiFeAg2Bi
Source: the Alexandria database
Functional: PBE
Structure: relaxed

Lattice parameters (Å, degrees): 5.400 5.119 5.400 90.00 90.00 90.00
Fractional positions:
Li 0.000 0.500 0.000
Bi 0.000 0.000 0.000
Ag 0.000 0.000 0.500
Ag 0.500 0.000 0.000
Fe 0.500 0.500 0.500

calculated density: 5.423 g cm⁻³
symmetry: P4/mmm (123)
E_tot: -15.06 eV per cell
ΔE_f: 0.98 eV per atom

Compound: NaFeAgBi2
Source: the Alexandria database
Functional: PBE
Structure: relaxed

Lattice parameters (Å, degrees): 4.984 5.322 4.984 90.00 90.00 90.00
Fractional positions:
Na 0.000 0.500 0.000
Bi 0.000 0.000 0.500
Bi 0.500 0.000 0.000
Ag 0.500 0.500 0.500
Fe 0.000 0.000 0.000

calculated density: 7.594 g cm⁻³
symmetry: P4/mmm (123)
E_tot: -18.12 eV per cell
ΔE_f: 0.46 eV per atom

Compound: FeAgBiPd2
Source: the Alexandria database
Functional: PBE
Structure: relaxed

Lattice parameters (Å, degrees): 4.978 5.151 4.978 90.00 90.00 90.00
Fractional positions:
Pd 0.000 0.000 0.500
Pd 0.500 0.000 0.000
Bi 0.000 0.500 0.000
Ag 0.000 0.000 0.000
Fe 0.500 0.500 0.500

calculated density: 7.616 g cm⁻³
symmetry: P4/mmm (123)
E_tot: -19.51 eV per cell
ΔE_f: 1.21 eV per atom

Compound: GaAgBi2
Source: the Alexandria database
Functional: PBE
Structure: relaxed

Lattice parameters (Å, degrees): 6.590 6.590 7.761 64.88 64.88 90.00
Fractional positions:
Ga 0.500 0.500 0.000
Ga 0.250 0.750 0.500
Bi 0.620 0.125 0.250
Bi 0.130 0.625 0.250
Bi 0.375 0.380 0.750
Bi 0.875 0.870 0.750
Ag 0.000 0.000 0.000
Ag 0.750 0.250 0.500

calculated density: 7.337 g cm⁻³
symmetry: I-42d (122)
E_tot: -25.41 eV per cell
ΔE_f: 0.23 eV per atom

Compound: Ga5AgBi
Source: the Alexandria database
Functional: PBE
Structure: relaxed

Lattice parameters (Å, degrees): 4.311 4.311 8.293 90.00 90.00 90.00
Fractional positions:
Ga 0.000 0.500 0.235
Ga 0.000 0.500 0.765
Ga 0.500 0.000 0.235
Ga 0.500 0.000 0.765
Ga 0.000 0.000 0.000
Ag 0.500 0.500 0.000
Bi 0.000 0.000 0.500

calculated density: 7.170 g cm⁻³
symmetry: P4/mmm (123)
E_tot: -21.39 eV per cell
ΔE_f: 0.07 eV per atom